No. 1
This record from the Alexandria database describes a relaxed Ba3SnBr6Cl2 crystal. The functional is PBE.

For the calculated density, the calculation gives 3.5 Mg/m³. As for the space group: No. 12. For the formation energy (no corrections), the calculation gives -1.875 eV/atom. The total magnetic moment is 0.0 μB per formula unit.

Lattice parameters (Å, degrees): 6.726 9.415 9.292 120.44 93.15 90.00
Atoms (fractional coordinates):
Cl 0.737 0.333 0.667
Ba 0.500 0.000 0.500
Cl 0.263 0.667 0.333
Ba 0.000 0.500 0.000
Ba 0.500 0.500 0.500
Br 0.743 0.849 0.698
Br 0.253 0.157 0.836
Br 0.747 0.843 0.164
Br 0.253 0.679 0.836
Sn 0.500 0.000 0.000
Br 0.747 0.321 0.164
Br 0.257 0.151 0.302

***

No. 2
This record from the Alexandria database describes a relaxed Li3Zn2Ge4 crystal. The functional is PBE.

For the calculated density, the calculation gives 4.7 Mg/m³. As for the space group: No. 12. For the formation energy, the calculation gives -166 meV per atom. The total magnetic moment is 0.0 μB per formula unit.

Lattice parameters (Å, degrees): 4.341 5.401 8.099 113.30 90.00 113.69
Atoms (fractional coordinates):
Ge 0.753 0.507 0.090
Ge 0.032 0.064 0.362
Ge 0.968 0.936 0.638
Li 0.329 0.658 0.361
Zn 0.396 0.793 0.730
Ge 0.247 0.493 0.910
Zn 0.604 0.207 0.270
Li 0.000 0.000 0.000
Li 0.671 0.342 0.639

***

No. 3
This record from the Alexandria database describes a relaxed Li2SmGaSe4 crystal. The functional is PBE.

For the calculated density, the calculation gives 4.7 Mg/m³. As for the space group: No. 1. For the formation energy (no corrections), the calculation gives -1.189 eV/atom. The total magnetic moment is 0.0 μB per formula unit.

Lattice parameters (Å, degrees): 8.368 8.367 8.443 123.94 123.99 84.89
Atoms (fractional coordinates):
Se 0.218 0.190 0.411
Se 0.779 0.794 0.577
Li 0.461 0.442 0.995
Ga 0.500 0.600 0.501
Li 0.469 0.968 0.024
Li 0.534 0.032 0.478
Se 0.736 0.264 0.977
Se 0.788 0.217 0.487
Se 0.285 0.713 0.015
Ga 0.903 0.002 0.001
Sm 0.010 0.487 0.509
Se 0.312 0.284 0.093
Se 0.238 0.766 0.526
Se 0.709 0.724 0.927
Sm 0.015 0.491 0.994
Li 0.046 0.028 0.487

***

No. 4
This record from the Alexandria database describes a relaxed LaCd2Hg2 crystal. The functional is PBE.

For the energy above the most stable polymorph in this dataset, the calculation gives 151 meV/atom. For the calculated density, the calculation gives 9.4 Mg/m³. As for the space group: No. 127. For the formation energy, the calculation gives -173 meV per atom. The total magnetic moment is 0.0 μB per formula unit.

Lattice parameters (Å, degrees): 8.274 8.274 3.960 90.00 90.00 90.00
Atoms (fractional coordinates):
Hg 0.628 0.128 0.000
Cd 0.327 0.173 0.500
Cd 0.673 0.827 0.500
La 0.000 0.000 0.000
Hg 0.128 0.372 0.000
Cd 0.827 0.327 0.500
Hg 0.872 0.628 0.000
La 0.500 0.500 0.000
Cd 0.173 0.673 0.500
Hg 0.372 0.872 0.000

***

No. 5
This record from the Alexandria database describes a relaxed MnCr2Te crystal. The functional is PBE.

For the calculated density, the calculation gives 8.2 Mg/m³. As for the space group: No. 65. For the formation energy (no corrections), the calculation gives 0.367 eV/atom. The total magnetic moment is 0.7 μB per formula unit.

Lattice parameters (Å, degrees): 4.263 4.263 3.207 90.00 90.00 89.89
Atoms (fractional coordinates):
Te 0.000 0.500 0.500
Mn 0.500 0.000 0.500
Cr 0.500 0.500 0.000
Cr 0.000 0.000 0.000

***

No. 6
This record from the Alexandria database describes a relaxed Tb2PmHf crystal. The functional is PBE.

For the energy above the most stable polymorph in this dataset, the calculation gives 37 meV/atom. For the calculated density, the calculation gives 9.1 Mg/m³. As for the space group: No. 123. For the formation energy, the calculation gives 159 meV per atom. The total magnetic moment is 0.0 μB per formula unit.

Lattice parameters (Å, degrees): 4.913 4.875 4.875 90.00 90.00 90.00
Atoms (fractional coordinates):
Pm 0.500 0.500 0.500
Tb 0.000 0.000 0.500
Tb 0.000 0.500 0.000
Hf 0.500 0.000 0.000

***

No. 7
This record from the Alexandria database describes a relaxed CdSb2 crystal. The functional is PBE.

For the calculated density, the calculation gives 7.0 Mg/m³. As for the space group: No. 189. For the formation energy (no corrections), the calculation gives 0.177 eV/atom. The total magnetic moment is 0.0 μB per formula unit.

Lattice parameters (Å, degrees): 8.405 8.405 4.125 90.00 90.00 120.00
Atoms (fractional coordinates):
Sb 0.000 0.285 0.000
Cd 0.333 0.667 0.000
Sb 0.000 0.554 0.500
Sb 0.285 0.000 0.000
Cd 0.667 0.333 0.000
Sb 0.446 0.446 0.500
Cd 0.000 0.000 0.500
Sb 0.554 0.000 0.500
Sb 0.715 0.715 0.000

***

No. 8
This record from the Alexandria database describes a relaxed BaAlOs2 crystal. The functional is PBE.

For the calculated density, the calculation gives 10.5 Mg/m³. As for the space group: No. 12. For the formation energy, the calculation gives 526 meV per atom. The total magnetic moment is 0.0 μB per formula unit.

Lattice parameters (Å, degrees): 4.723 4.723 6.521 81.71 81.71 36.96
Atoms (fractional coordinates):
Al 0.750 0.750 0.750
Os 0.030 0.030 0.897
Ba 0.250 0.250 0.250
Os 0.470 0.470 0.603

***

No. 9
This record from the Alexandria database describes a relaxed AcGdTl4 crystal. The functional is PBE.

For the calculated density, the calculation gives 11.0 Mg/m³. As for the space group: No. 216. For the formation energy, the calculation gives -156 meV per atom. The total magnetic moment is 7.7 μB per formula unit.

Lattice parameters (Å, degrees): 6.360 6.360 6.360 60.00 60.00 60.00
Atoms (fractional coordinates):
Tl 0.124 0.625 0.625
Ac 0.250 0.250 0.250
Gd 0.000 0.000 0.000
Tl 0.625 0.625 0.124
Tl 0.625 0.625 0.625
Tl 0.625 0.124 0.625

***

No. 10
This record from the Alexandria database describes a relaxed Er4Bi2Pd crystal. The functional is PBE.

For the calculated density, the calculation gives 10.2 Mg/m³. As for the space group: No. 11. For the formation energy, the calculation gives -632 meV per atom. The total magnetic moment is 0.0 μB per formula unit.

Lattice parameters (Å, degrees): 6.898 6.562 9.953 90.00 120.64 90.00
Atoms (fractional coordinates):
Er 0.368 0.009 0.209
Bi 0.297 0.250 0.476
Pd 0.989 0.250 0.950
Er 0.866 0.250 0.561
Er 0.632 0.991 0.791
Er 0.134 0.750 0.439
Pd 0.011 0.750 0.050
Er 0.836 0.250 0.164
Bi 0.673 0.750 0.116
Er 0.368 0.491 0.209
Bi 0.327 0.250 0.884
Er 0.632 0.509 0.791
Bi 0.703 0.750 0.524
Er 0.164 0.750 0.836

***

No. 11
This record from the Alexandria database describes a relaxed LiTc2Hg crystal. The functional is PBE.

For the calculated density, the calculation gives 10.6 Mg/m³. As for the space group: No. 8. For the formation energy, the calculation gives 291 meV per atom. The total magnetic moment is 0.0 μB per formula unit.

Lattice parameters (Å, degrees): 4.557 4.557 5.268 84.56 84.56 35.69
Atoms (fractional coordinates):
Tc 0.756 0.756 0.800
Li 0.245 0.245 0.262
Hg 0.495 0.495 0.465
Tc 0.003 0.003 0.973

***

No. 12
This record from the Alexandria database describes a relaxed CdTcCl2 crystal. The functional is PBE.

For the energy above the most stable polymorph in this dataset, the calculation gives 171 meV/atom. For the calculated density, the calculation gives 5.1 Mg/m³. As for the space group: No. 166. For the formation energy (no corrections), the calculation gives -0.034 eV/atom. The total magnetic moment is 0.9 μB per formula unit.

Lattice parameters (Å, degrees): 9.919 9.919 9.919 19.15 19.15 19.15
Atoms (fractional coordinates):
Tc 0.500 0.500 0.500
Cd 0.000 0.000 0.000
Cl 0.886 0.886 0.886
Cl 0.114 0.114 0.114

***

No. 13
This record from the Alexandria database describes a relaxed La6Al2N crystal. The functional is PBE.

For the energy above the most stable polymorph in this dataset, the calculation gives 0 meV/atom. For the calculated density, the calculation gives 5.8 Mg/m³. As for the space group: No. 225. For the formation energy (no corrections), the calculation gives -0.450 eV/atom. The total magnetic moment is 0.9 μB per formula unit.

Lattice parameters (Å, degrees): 7.164 7.164 7.165 60.00 60.00 60.00
Atoms (fractional coordinates):
La 0.256 0.745 0.255
La 0.255 0.255 0.744
N 0.500 0.500 0.500
Al 0.750 0.750 0.750
Al 0.250 0.250 0.250
La 0.745 0.256 0.255
La 0.255 0.744 0.745
La 0.744 0.255 0.745
La 0.745 0.745 0.256